No. 1
First-principles (PBE) data for KIn3Ir after structural relaxation, as listed in the Alexandria database.

Geometry as POSCAR:
```
KIn3Ir
1.0
-1.5329 -7.3476 3.2135
4.9352 -1.1991 -0.8116
-4.3514 2.9199 8.1074
Ir K In
2 2 6
direct
0.3364 0.2428 0.0772 Ir
0.7691 0.5059 0.4820 Ir
0.0022 0.9591 0.8376 K
0.3276 0.1689 0.5093 K
0.5549 0.8983 0.7845 In
0.3073 0.6908 0.0372 In
0.0617 0.4392 0.3018 In
0.5795 0.4030 0.2546 In
0.8184 0.8104 0.1639 In
0.7909 0.1238 0.5742 In
```

Computed properties:
- crystal system = triclinic
- ΔH_f (0 K) (eV per formula unit) = -0.48
- total moment (Bohr magnetons per cell) = 0.00
- E above lowest polymorph (kJ/mol of atoms) = 6.0
- DOS at the Fermi energy (states/eV/cell) = 2.8

=====

No. 2
First-principles (PBE) data for K2InIr after structural relaxation, as listed in the Alexandria database.

Geometry as POSCAR:
```
K2InIr
1.0
-1.0889 3.9307 2.5442
-7.1308 -0.4189 -2.4047
-6.5640 -3.1122 1.9990
K Ir In
2 1 1
direct
0.0000 0.6129 0.6145 K
0.0000 0.8871 0.8855 K
0.5000 0.7500 0.7500 Ir
0.5000 0.2500 0.2500 In
```

Computed properties:
- crystal system = orthorhombic
- ΔH_f (0 K) (eV per formula unit) = 1.70
- total moment (Bohr magnetons per cell) = 0.00
- DOS at the Fermi energy (states/eV/cell) = 5.9

=====

No. 3
First-principles (PBE) data for K2In6Ir after structural relaxation, as listed in the Alexandria database.

Geometry as POSCAR:
```
K2In6Ir
1.0
-3.8907 1.2589 -5.7463
-3.2964 -5.3146 -3.2607
-7.0269 -0.5157 0.3166
K In Ir
2 6 1
direct
0.2500 0.2500 0.2500 K
0.7500 0.7500 0.7500 K
0.7282 0.2718 0.7282 In
0.2718 0.7282 0.2718 In
0.2718 0.7282 0.7282 In
0.7282 0.7282 0.2718 In
0.2718 0.2718 0.7282 In
0.7282 0.2718 0.2718 In
0.0000 0.0000 0.0000 Ir
```

Computed properties:
- crystal system = cubic
- ΔH_f (0 K) (eV per formula unit) = -0.52
- total moment (Bohr magnetons per cell) = 0.00
- E above lowest polymorph (kJ/mol of atoms) = 1.4
- DOS at the Fermi energy (states/eV/cell) = 8.2

=====

No. 4
First-principles (PBE) data for KIn2Ir after structural relaxation, as listed in the Alexandria database.

Geometry as POSCAR:
```
KIn2Ir
1.0
-4.8453 2.6074 -0.4832
-4.0107 -3.7379 -0.6715
4.0329 0.4191 3.7509
Ir In K
1 2 1
direct
0.5000 0.5000 0.0000 Ir
0.0000 0.0000 0.0000 In
0.2500 0.7500 0.5000 In
0.7500 0.2500 0.5000 K
```

Computed properties:
- crystal system = tetragonal
- ΔH_f (0 K) (eV per formula unit) = 1.99
- total moment (Bohr magnetons per cell) = 0.00
- E above lowest polymorph (kJ/mol of atoms) = 49.3
- DOS at the Fermi energy (states/eV/cell) = 2.4

=====

No. 5
First-principles (PBE) data for K2InIr after structural relaxation, as listed in the Alexandria database.

Geometry as POSCAR:
```
K2InIr
1.0
-6.1650 6.4181 -5.1201
-3.3630 3.7799 -8.9341
2.5302 -6.5637 7.4787
Ir K In
1 2 1
direct
0.7500 0.2500 0.5000 Ir
0.8963 0.8963 0.0000 K
0.6037 0.6037 0.0000 K
0.2500 0.7500 0.5000 In
```

Computed properties:
- crystal system = orthorhombic
- ΔH_f (0 K) (eV per formula unit) = 0.47
- total moment (Bohr magnetons per cell) = 0.00
- DOS at the Fermi energy (states/eV/cell) = 1.4

=====

No. 6
First-principles (PBE) data for KIn3Ir after structural relaxation, as listed in the Alexandria database.

Geometry as POSCAR:
```
KIn3Ir
1.0
8.6358 0.0432 -0.0141
3.0725 4.1706 0.0100
2.7844 -2.0953 8.2135
In Ir K
6 2 2
direct
0.1049 0.4718 0.2023 In
0.7249 0.3510 0.4625 In
0.3576 0.2200 0.7017 In
0.6048 0.9718 0.2022 In
0.4846 0.5931 0.9418 In
0.8521 0.7238 0.7028 In
0.4711 0.1068 0.9694 Ir
0.7386 0.8372 0.4351 Ir
0.2332 0.8439 0.4451 K
0.9763 0.1003 0.9595 K
```

Computed properties:
- crystal system = triclinic
- ΔH_f (0 K) (eV per formula unit) = -0.63
- total moment (Bohr magnetons per cell) = 0.00
- E above lowest polymorph (kJ/mol of atoms) = 3.1
- DOS at the Fermi energy (states/eV/cell) = 4.0

=====

No. 7
First-principles (PBE) data for KIn9Ir2 after structural relaxation, as listed in the Alexandria database.

Geometry as POSCAR:
```
KIn9Ir2
1.0
-2.2344 1.7346 3.2426
-1.5541 -8.2673 3.3515
7.3423 4.6266 2.5846
Ir In K
2 9 1
direct
0.0000 0.6667 0.3333 Ir
0.0000 0.3333 0.6667 Ir
0.5000 0.4138 0.2069 In
0.5000 0.5862 0.7931 In
0.5000 0.2069 0.4138 In
0.5000 0.7931 0.2069 In
0.5000 0.2069 0.7931 In
0.0000 0.0000 0.5000 In
0.0000 0.5000 0.5000 In
0.5000 0.7931 0.5862 In
0.0000 0.5000 0.0000 In
0.0000 0.0000 0.0000 K
```

Computed properties:
- crystal system = hexagonal
- ΔH_f (0 K) (eV per formula unit) = -2.29
- total moment (Bohr magnetons per cell) = 0.00
- DOS at the Fermi energy (states/eV/cell) = 2.9

=====

No. 8
First-principles (PBE) data for KIn2Ir after structural relaxation, as listed in the Alexandria database.

Geometry as POSCAR:
```
KIn2Ir
1.0
0.0000 3.5326 3.5326
3.5326 0.0000 3.5326
3.5326 3.5326 0.0000
Ir In K
1 2 1
direct
0.5000 0.5000 0.5000 Ir
0.7500 0.7500 0.7500 In
0.2500 0.2500 0.2500 In
0.0000 0.0000 0.0000 K
```

Computed properties:
- crystal system = cubic
- ΔH_f (0 K) (eV per formula unit) = 1.09
- total moment (Bohr magnetons per cell) = 0.00
- E above lowest polymorph (kJ/mol of atoms) = 27.4
- DOS at the Fermi energy (states/eV/cell) = 2.7

=====

No. 9
First-principles (PBE) data for K2InIr after structural relaxation, as listed in the Alexandria database.

Geometry as POSCAR:
```
K2InIr
1.0
-8.7111 -6.3667 4.9936
-6.5876 -8.7080 4.7040
-6.5188 -6.8084 7.2459
K In Ir
2 1 1
direct
0.4900 0.4900 0.4900 K
0.0100 0.0100 0.0100 K
0.2500 0.2500 0.2500 In
0.7500 0.7500 0.7500 Ir
```

Computed properties:
- crystal system = trigonal
- ΔH_f (0 K) (eV per formula unit) = 2.79
- total moment (Bohr magnetons per cell) = 0.73
- DOS at the Fermi energy (states/eV/cell) = 4.3

=====

No. 10
First-principles (PBE) data for K2In4Ir after structural relaxation, as listed in the Alexandria database.

Geometry as POSCAR:
```
K2In4Ir
1.0
-1.3309 -2.8938 -4.1089
4.3988 -2.7265 0.4954
-2.8607 -8.8667 3.8821
K In Ir
2 4 1
direct
0.6677 0.6677 0.6646 K
0.3323 0.3323 0.3354 K
0.0000 0.5000 0.0000 In
0.8588 0.8588 0.2823 In
0.5000 0.0000 0.0000 In
0.1412 0.1412 0.7177 In
0.0000 0.0000 0.0000 Ir
```

Computed properties:
- crystal system = tetragonal
- ΔH_f (0 K) (eV per formula unit) = -0.30
- total moment (Bohr magnetons per cell) = 0.00
- DOS at the Fermi energy (states/eV/cell) = 5.6

=====

No. 11
First-principles (PBE) data for KIn3Ir after structural relaxation, as listed in the Alexandria database.

Geometry as POSCAR:
```
KIn3Ir
1.0
5.7123 0.0000 0.0000
0.0000 5.7123 0.0000
0.0000 0.0000 5.7123
Ir In K
1 3 1
direct
0.5000 0.5000 0.5000 Ir
0.0000 0.5000 0.0000 In
0.0000 0.0000 0.5000 In
0.5000 0.0000 0.0000 In
0.0000 0.0000 0.0000 K
```

Computed properties:
- crystal system = cubic
- ΔH_f (0 K) (eV per formula unit) = 8.99
- total moment (Bohr magnetons per cell) = 0.47
- E above lowest polymorph (kJ/mol of atoms) = 188.7
- DOS at the Fermi energy (states/eV/cell) = 5.6

=====

No. 12
First-principles (PBE) data for KIn3Ir after structural relaxation, as listed in the Alexandria database.

Geometry as POSCAR:
```
KIn3Ir
1.0
-13.9052 4.2580 -14.3879
-3.3114 3.4784 -8.2255
5.9116 -5.4202 5.1378
In Ir K
6 2 2
direct
0.9869 0.3360 0.6640 In
0.1249 0.9361 0.0639 In
0.3478 0.4284 0.5716 In
0.6522 0.5716 0.4284 In
0.8751 0.0639 0.9361 In
0.0131 0.6640 0.3360 In
0.7452 0.0585 0.9415 Ir
0.2548 0.9415 0.0585 Ir
0.5762 0.0069 0.9931 K
0.4238 0.9931 0.0069 K
```

Computed properties:
- crystal system = monoclinic
- ΔH_f (0 K) (eV per formula unit) = -0.19
- total moment (Bohr magnetons per cell) = 0.00
- E above lowest polymorph (kJ/mol of atoms) = 11.5
- DOS at the Fermi energy (states/eV/cell) = 6.0